Below is crystalline LiIrPt2 at its relaxed geometry, with properties calculated at the PBE level.

As for the energy of formation from the pure elements: -77 meV/atom. For the total energy, the calculation gives -5.791 eV/atom.

The space group is P4mm (No. 99) and the conventional cell measures 2.7272, 2.7272 and 7.8949 Å, with angles of 90.00, 90.00 and 90.00 degrees. The asymmetric unit holds Li at (0.0000, 0.0000, 0.0000), Ir at (0.5000, 0.5000, 0.7492), Pt at (0.0000, 0.0000, 0.5032) and Pt at (0.5000, 0.5000, 0.2398).